# PBE-GGA PmNdPd6, relaxed
# Formation energy ... -439 kJ/mol of formula units
data_PmNdPd6
_chemical_formula_sum 'Pm1 Nd1 Pd6'
_space_group_name_H-M_alt 'P 1'
_space_group_IT_number 1
_cell_length_a 5.370
_cell_length_b 5.370
_cell_length_c 5.370
_cell_angle_alpha 90.00
_cell_angle_beta 90.00
_cell_angle_gamma 90.00
loop_
_space_group_symop_operation_xyz
'x,y,z'
loop_
_atom_site_label
_atom_site_type_symbol
_atom_site_fract_x
_atom_site_fract_y
_atom_site_fract_z
_atom_site_occupancy
Pm1 Pm 0.000 0.000 0.000 1
Nd1 Nd 0.500 0.500 0.500 1
Pd1 Pd 0.000 0.250 0.500 1
Pd2 Pd 0.000 0.750 0.500 1
Pd3 Pd 0.250 0.500 0.000 1
Pd4 Pd 0.500 0.000 0.250 1
Pd5 Pd 0.500 0.000 0.750 1
Pd6 Pd 0.750 0.500 0.000 1